Entry 1:
{"formula": "Na3Ho3MoS8", "functional": "PBE-GGA", "state": "optimized geometry", "lattice_angstrom": [[7.729, 0.000, 0.000], [-3.865, 6.695, -0.026], [0.000, -4.441, 6.793]], "species": ["S", "Na", "Na", "Na", "Ho", "S", "S", "S", "Ho", "S", "S", "S", "Ho", "S", "Mo"], "frac_coords": [[0.775, 0.012, 0.288], [0.500, 0.500, 0.000], [0.000, 0.000, 0.000], [0.000, 0.500, 0.000], [0.000, 0.500, 0.500], [0.775, 0.550, 0.288], [0.237, 0.012, 0.288], [0.225, 0.450, 0.712], [0.500, 0.000, 0.500], [0.743, 0.485, 0.727], [0.763, 0.988, 0.712], [0.257, 0.515, 0.273], [0.500, 0.500, 0.500], [0.225, 0.988, 0.712], [0.000, 0.000, 0.500]], "magmom_total_mub_per_cell": 2.00, "final_energy_ev_per_atom": -5.62, "raw_formation_energy_ev_per_atom": -1.521}

***

Entry 2:
{"formula": "HoNbMo4", "functional": "PBE-GGA", "state": "optimized geometry", "lattice_angstrom": [[-5.306, 0.559, -0.748], [-3.312, -4.128, 1.007], [-3.314, 0.179, 4.243]], "species": ["Nb", "Mo", "Mo", "Ho", "Mo", "Mo"], "frac_coords": [[0.000, 0.000, 0.000], [0.625, 0.124, 0.625], [0.124, 0.625, 0.625], [0.250, 0.250, 0.250], [0.625, 0.625, 0.124], [0.625, 0.625, 0.625]], "magmom_total_mub_per_cell": 0.00, "final_energy_ev_per_atom": -9.60}

***

Entry 3:
{"formula": "HoNb2Mo", "functional": "PBE-GGA", "state": "optimized geometry", "lattice_angstrom": [[3.288, 0.000, 0.000], [0.000, 3.288, 0.000], [0.000, 0.000, 7.383]], "species": ["Nb", "Ho", "Nb", "Mo"], "frac_coords": [[0.000, 0.000, 0.206], [0.500, 0.500, 0.500], [0.000, 0.000, 0.794], [0.500, 0.500, 0.000]], "magmom_total_mub_per_cell": 0.00, "final_energy_ev_per_atom": -8.75}